Entry 1:
The following is a DFT calculation (PBE-GGA) of crystalline Re2OsCl at its relaxed geometry.

Structure (extended XYZ):
```
8
Lattice="2.791 0.000 0.000 0.000 4.876 0.000 0.000 0.000 9.647" Properties=species:S:1:pos:R:3 pbc="T T T"
Re 0.000 0.000 0.000
Re 0.000 2.438 2.346
Re 1.395 0.000 2.346
Re 1.395 2.438 0.000
Os 0.000 2.438 7.468
Os 1.395 0.000 7.468
Cl 0.000 0.000 4.388
Cl 1.395 2.438 4.388
```

Summary:
ΔE_f (raw) in eV per atom: 0.77
Total moment in μB per formula unit: 0.0


Entry 2:
The following is a DFT calculation (PBE-GGA) of crystalline ReOs2Cl at its relaxed geometry.

Structure (extended XYZ):
```
12
Lattice="2.817 0.000 0.000 -1.408 2.440 0.000 0.000 0.000 26.039" Properties=species:S:1:pos:R:3 pbc="T T T"
Re 0.000 0.000 0.000
Re 0.000 1.626 17.359
Re 1.408 0.813 8.680
Os 0.000 0.000 6.524
Os 0.000 0.000 13.081
Os 0.000 1.626 4.402
Os 0.000 1.626 23.883
Os 1.408 0.813 15.204
Os 1.408 0.813 21.761
Cl 0.000 0.000 19.398
Cl 0.000 1.626 10.718
Cl 1.408 0.813 2.039
```

Summary:
ΔE_f (raw) in eV per atom: 0.54
Total moment in μB per formula unit: 0.0


Entry 3:
The following is a DFT calculation (PBE-GGA) of crystalline ReOs2Cl at its relaxed geometry.

Structure (extended XYZ):
```
4
Lattice="2.829 0.000 0.000 0.000 2.829 0.000 0.000 0.000 7.581" Properties=species:S:1:pos:R:3 pbc="T T T"
Re 0.000 0.000 0.000
Os 1.415 1.415 1.798
Os 1.415 1.415 5.782
Cl 0.000 0.000 3.790
```

Summary:
ΔE_f (raw) in eV per atom: 0.67
Total moment in μB per formula unit: 0.0


Entry 4:
The following is a DFT calculation (PBE-GGA) of crystalline Re2OsCl at its relaxed geometry.

Structure (extended XYZ):
```
4
Lattice="2.793 0.000 0.000 0.000 2.793 0.000 0.000 0.000 7.714" Properties=species:S:1:pos:R:3 pbc="T T T"
Re 0.000 0.000 1.873
Re 0.000 0.000 5.841
Os 1.396 1.396 0.000
Cl 1.396 1.396 3.857
```

Summary:
ΔE_f (raw) in eV per atom: 0.71
Total moment in μB per formula unit: 0.0


Entry 5:
The following is a DFT calculation (PBE-GGA) of crystalline Re2OsCl at its relaxed geometry.

Structure (extended XYZ):
```
16
Lattice="6.213 0.000 0.000 0.000 6.213 0.000 0.000 0.000 6.213" Properties=species:S:1:pos:R:3 pbc="T T T"
Re 1.553 1.553 1.553
Re 1.553 1.553 4.659
Re 1.553 4.659 1.553
Re 1.553 4.659 4.659
Re 4.659 1.553 1.553
Re 4.659 1.553 4.659
Re 4.659 4.659 1.553
Re 4.659 4.659 4.659
Os 0.000 0.000 0.000
Os 0.000 3.106 3.106
Os 3.106 0.000 3.106
Os 3.106 3.106 0.000
Cl 0.000 0.000 3.106
Cl 0.000 3.106 0.000
Cl 3.106 0.000 0.000
Cl 3.106 3.106 3.106
```

Summary:
ΔE_f (raw) in eV per atom: 1.05
Total moment in μB per formula unit: 0.0


Entry 6:
The following is a DFT calculation (PBE-GGA) of crystalline Re2OsCl at its relaxed geometry.

Structure (extended XYZ):
```
4
Lattice="2.813 0.000 0.000 0.000 2.813 0.000 0.000 0.000 8.283" Properties=species:S:1:pos:R:3 pbc="T T T"
Re 0.000 0.000 0.000
Re 1.407 1.407 1.892
Os 1.407 1.407 6.510
Cl 0.000 0.000 3.613
```

Summary:
ΔE_f (raw) in eV per atom: 0.62
Total moment in μB per formula unit: 0.0


Entry 7:
The following is a DFT calculation (PBE-GGA) of crystalline ReOs2Cl at its relaxed geometry.

Structure (extended XYZ):
```
4
Lattice="4.649 0.000 0.000 0.000 4.649 0.000 0.000 0.000 2.801" Properties=species:S:1:pos:R:3 pbc="T T T"
Re 0.000 0.000 0.000
Os 0.000 2.325 1.401
Os 2.325 0.000 1.401
Cl 2.325 2.325 0.000
```

Summary:
ΔE_f (raw) in eV per atom: 1.30
Total moment in μB per formula unit: 0.0


Entry 8:
The following is a DFT calculation (PBE-GGA) of crystalline Re2OsCl at its relaxed geometry.

Structure (extended XYZ):
```
12
Lattice="2.834 0.000 0.000 -1.417 2.454 0.000 0.000 0.000 25.677" Properties=species:S:1:pos:R:3 pbc="T T T"
Re 0.000 0.000 6.426
Re 0.000 0.000 19.251
Re 0.000 1.636 10.692
Re 0.000 1.636 23.544
Re 1.417 0.818 2.133
Re 1.417 0.818 14.985
Os 0.000 0.000 0.000
Os 0.000 1.636 17.118
Os 1.417 0.818 8.559
Cl 0.000 0.000 12.839
Cl 0.000 1.636 4.280
Cl 1.417 0.818 21.398
```

Summary:
ΔE_f (raw) in eV per atom: 0.46
Total moment in μB per formula unit: 0.0


Entry 9:
The following is a DFT calculation (PBE-GGA) of crystalline Re2OsCl at its relaxed geometry.

Structure (extended XYZ):
```
4
Lattice="2.845 0.000 0.000 0.000 4.023 0.000 -1.416 0.000 5.239" Properties=species:S:1:pos:R:3 pbc="T T T"
Re 0.000 0.000 0.000
Re 0.007 2.011 3.731
Os 1.428 0.000 2.653
Cl -0.021 2.011 1.341
```

Summary:
ΔE_f (raw) in eV per atom: 0.77
Total moment in μB per formula unit: 0.0


Entry 10:
The following is a DFT calculation (PBE-GGA) of crystalline ReOs2Cl at its relaxed geometry.

Structure (extended XYZ):
```
8
Lattice="9.796 0.000 0.000 0.000 2.806 0.000 -0.068 0.000 4.377" Properties=species:S:1:pos:R:3 pbc="T T T"
Re 0.000 0.000 0.000
Re 4.898 1.403 0.000
Os 2.125 1.403 1.034
Os 2.705 0.000 3.343
Os 7.023 0.000 1.034
Os 7.604 1.403 3.343
Cl -0.034 1.403 2.188
Cl 4.864 0.000 2.188
```

Summary:
ΔE_f (raw) in eV per atom: 0.86
Total moment in μB per formula unit: 0.0


Entry 11:
The following is a DFT calculation (PBE-GGA) of crystalline ReOs2Cl at its relaxed geometry.

Structure (extended XYZ):
```
4
Lattice="2.795 0.000 0.000 0.000 4.626 0.000 0.000 0.000 4.628" Properties=species:S:1:pos:R:3 pbc="T T T"
Re 0.000 0.000 0.000
Os 0.000 2.313 2.314
Os 1.398 2.313 0.000
Cl 1.398 0.000 2.314
```

Summary:
ΔE_f (raw) in eV per atom: 1.20
Total moment in μB per formula unit: 0.0


Entry 12:
The following is a DFT calculation (PBE-GGA) of crystalline Re3OsCl at its relaxed geometry.

Structure (extended XYZ):
```
5
Lattice="4.803 0.000 0.000 0.000 4.803 0.000 0.000 0.000 4.803" Properties=species:S:1:pos:R:3 pbc="T T T"
Re 0.000 0.000 2.401
Re 0.000 2.401 0.000
Re 2.401 0.000 0.000
Os 0.000 0.000 0.000
Cl 2.401 2.401 2.401
```

Summary:
ΔE_f (raw) in eV per atom: 2.44
Total moment in μB per formula unit: 3.8


Entry 13:
The following is a DFT calculation (PBE-GGA) of crystalline Re2OsCl at its relaxed geometry.

Structure (extended XYZ):
```
8
Lattice="7.939 0.000 0.000 0.000 2.790 0.000 -0.894 0.000 5.569" Properties=species:S:1:pos:R:3 pbc="T T T"
Re 1.746 0.000 1.401
Re 1.329 1.395 4.168
Re 5.716 1.395 1.401
Re 5.298 0.000 4.168
Os 0.000 1.395 0.000
Os 3.969 0.000 0.000
Cl -0.447 0.000 2.785
Cl 3.522 1.395 2.785
```

Summary:
ΔE_f (raw) in eV per atom: 0.95
Total moment in μB per formula unit: 0.0


Entry 14:
The following is a DFT calculation (PBE-GGA) of crystalline ReOs2Cl at its relaxed geometry.

Structure (extended XYZ):
```
8
Lattice="2.831 0.000 0.000 0.000 4.598 0.000 0.000 0.000 8.995" Properties=species:S:1:pos:R:3 pbc="T T T"
Re 0.000 0.000 0.000
Re 1.415 2.299 4.498
Os 0.000 0.000 4.252
Os 0.000 2.299 2.117
Os 1.415 0.000 6.615
Os 1.415 2.299 8.750
Cl 0.000 2.299 6.561
Cl 1.415 0.000 2.063
```

Summary:
ΔE_f (raw) in eV per atom: 1.07
Total moment in μB per formula unit: 0.0


Entry 15:
The following is a DFT calculation (PBE-GGA) of crystalline ReOsCl at its relaxed geometry.

Structure (extended XYZ):
```
3
Lattice="2.858 0.000 0.000 -1.429 2.475 0.000 0.000 0.000 6.495" Properties=species:S:1:pos:R:3 pbc="T T T"
Re 0.000 0.000 0.000
Os 1.429 0.825 4.490
Cl 0.000 1.650 2.080
```

Summary:
ΔE_f (raw) in eV per atom: 0.46
Total moment in μB per formula unit: 0.0


Entry 16:
The following is a DFT calculation (PBE-GGA) of crystalline Re2OsCl at its relaxed geometry.

Structure (extended XYZ):
```
8
Lattice="9.859 0.000 0.000 0.000 2.837 0.000 -0.222 0.000 4.459" Properties=species:S:1:pos:R:3 pbc="T T T"
Re 0.000 0.000 0.000
Re 1.876 1.419 1.296
Re 4.930 1.419 0.000
Re 6.806 0.000 1.296
Os 4.110 0.000 2.021
Os 9.039 1.419 2.021
Cl 1.907 0.000 3.217
Cl 6.837 1.419 3.217
```

Summary:
ΔE_f (raw) in eV per atom: 0.78
Total moment in μB per formula unit: 0.0


Entry 17:
The following is a DFT calculation (PBE-GGA) of crystalline Re2OsCl at its relaxed geometry.

Structure (extended XYZ):
```
8
Lattice="2.874 0.000 0.000 0.000 4.521 0.000 0.000 0.000 9.006" Properties=species:S:1:pos:R:3 pbc="T T T"
Re 0.000 0.000 2.094
Re 0.000 0.000 6.913
Re 1.437 2.261 2.409
Re 1.437 2.261 6.597
Os 0.000 2.261 0.000
Os 1.437 0.000 4.503
Cl 0.000 2.261 4.503
Cl 1.437 0.000 0.000
```

Summary:
ΔE_f (raw) in eV per atom: 1.00
Total moment in μB per formula unit: 0.0


Entry 18:
The following is a DFT calculation (PBE-GGA) of crystalline Re2OsCl at its relaxed geometry.

Structure (extended XYZ):
```
16
Lattice="5.664 0.000 0.000 0.000 5.664 0.000 0.000 0.000 10.185" Properties=species:S:1:pos:R:3 pbc="T T T"
Re 1.366 1.416 1.273
Re 1.416 4.198 3.819
Re 1.416 4.298 8.912
Re 1.466 1.416 6.366
Re 4.198 4.248 6.366
Re 4.248 1.366 8.912
Re 4.248 1.466 3.819
Re 4.298 4.248 1.273
Os 0.000 0.000 5.093
Os 0.000 2.832 7.639
Os 2.832 0.000 2.546
Os 2.832 2.832 0.000
Cl 0.000 0.000 0.000
Cl 0.000 2.832 2.546
Cl 2.832 0.000 7.639
Cl 2.832 2.832 5.093
```

Summary:
ΔE_f (raw) in eV per atom: 1.39
Total moment in μB per formula unit: 0.0


Entry 19:
The following is a DFT calculation (PBE-GGA) of crystalline Re4OsCl at its relaxed geometry.

Structure (extended XYZ):
```
6
Lattice="0.000 3.672 3.672 3.672 0.000 3.672 3.672 3.672 0.000" Properties=species:S:1:pos:R:3 pbc="T T T"
Re 0.914 0.914 0.914
Re 2.758 2.758 0.914
Re 2.758 0.914 2.758
Re 0.914 2.758 2.758
Os 3.672 3.672 3.672
Cl 5.508 5.508 5.508
```

Summary:
ΔE_f (raw) in eV per atom: 1.25
Total moment in μB per formula unit: 0.0


Entry 20:
The following is a DFT calculation (PBE-GGA) of crystalline ReOsCl3 at its relaxed geometry.

Structure (extended XYZ):
```
5
Lattice="4.854 0.000 0.000 0.000 4.854 0.000 0.000 0.000 4.854" Properties=species:S:1:pos:R:3 pbc="T T T"
Re 0.000 0.000 0.000
Os 2.427 2.427 2.427
Cl 0.000 2.427 2.427
Cl 2.427 0.000 2.427
Cl 2.427 2.427 0.000
```

Summary:
ΔE_f (raw) in eV per atom: 1.39
Total moment in μB per formula unit: 4.7


Entry 21:
The following is a DFT calculation (PBE-GGA) of crystalline Re2OsCl at its relaxed geometry.

Structure (extended XYZ):
```
4
Lattice="2.774 0.000 0.000 0.000 3.543 0.000 0.000 0.000 6.708" Properties=species:S:1:pos:R:3 pbc="T T T"
Re 0.000 0.000 1.393
Re 0.000 0.000 5.314
Os 1.387 1.772 0.000
Cl 1.387 1.772 3.354
```

Summary:
ΔE_f (raw) in eV per atom: 0.87
Total moment in μB per formula unit: 0.0


Entry 22:
The following is a DFT calculation (PBE-GGA) of crystalline Re2OsCl at its relaxed geometry.

Structure (extended XYZ):
```
8
Lattice="2.852 0.000 0.000 0.000 4.541 0.000 0.000 0.000 9.005" Properties=species:S:1:pos:R:3 pbc="T T T"
Re 0.000 0.000 0.000
Re 0.000 2.271 2.050
Re 1.426 0.000 6.553
Re 1.426 2.271 4.503
Os 0.000 0.000 4.207
Os 1.426 2.271 8.710
Cl 0.000 2.271 6.542
Cl 1.426 0.000 2.039
```

Summary:
ΔE_f (raw) in eV per atom: 0.93
Total moment in μB per formula unit: 0.0


Entry 23:
The following is a DFT calculation (PBE-GGA) of crystalline ReOsCl at its relaxed geometry.

Structure (extended XYZ):
```
12
Lattice="5.971 0.000 0.000 0.000 5.971 0.000 0.000 0.000 5.971" Properties=species:S:1:pos:R:3 pbc="T T T"
Re 0.000 0.000 0.000
Re 0.000 2.986 2.986
Re 2.986 0.000 2.986
Re 2.986 2.986 0.000
Os 1.493 1.493 4.479
Os 1.493 4.479 1.493
Os 4.479 1.493 1.493
Os 4.479 4.479 4.479
Cl 1.493 1.493 1.493
Cl 1.493 4.479 4.479
Cl 4.479 1.493 4.479
Cl 4.479 4.479 1.493
```

Summary:
ΔE_f (raw) in eV per atom: 1.18
Total moment in μB per formula unit: 0.0


Entry 24:
The following is a DFT calculation (PBE-GGA) of crystalline ReOs2Cl at its relaxed geometry.

Structure (extended XYZ):
```
8
Lattice="10.010 0.000 0.000 0.000 2.795 0.000 -0.865 0.000 4.565" Properties=species:S:1:pos:R:3 pbc="T T T"
Re 0.000 0.000 0.000
Re 5.005 1.397 0.000
Os 0.238 1.397 2.549
Os 2.608 0.000 3.125
Os 5.243 0.000 2.549
Os 7.613 1.397 3.125
Cl 2.108 1.397 1.092
Cl 7.113 0.000 1.092
```

Summary:
ΔE_f (raw) in eV per atom: 0.83
Total moment in μB per formula unit: 0.0


Entry 25:
The following is a DFT calculation (PBE-GGA) of crystalline Re3OsCl at its relaxed geometry.

Structure (extended XYZ):
```
5
Lattice="4.297 0.000 0.000 0.000 4.297 0.000 0.000 0.000 4.297" Properties=species:S:1:pos:R:3 pbc="T T T"
Re 0.000 0.000 2.149
Re 0.000 2.149 0.000
Re 2.149 0.000 0.000
Os 2.149 2.149 2.149
Cl 0.000 0.000 0.000
```

Summary:
ΔE_f (raw) in eV per atom: 1.84
Total moment in μB per formula unit: 0.0


Entry 26:
The following is a DFT calculation (PBE-GGA) of crystalline ReOs2Cl at its relaxed geometry.

Structure (extended XYZ):
```
8
Lattice="6.075 0.000 0.000 0.000 7.131 0.000 0.000 0.000 2.786" Properties=species:S:1:pos:R:3 pbc="T T T"
Re 0.000 0.000 0.000
Re 3.038 3.566 0.000
Os 1.519 1.783 1.393
Os 1.519 5.348 1.393
Os 4.557 1.783 1.393
Os 4.557 5.348 1.393
Cl 0.000 3.566 0.000
Cl 3.038 0.000 0.000
```

Summary:
ΔE_f (raw) in eV per atom: 1.28
Total moment in μB per formula unit: 0.0


Entry 27:
The following is a DFT calculation (PBE-GGA) of crystalline ReOs2Cl at its relaxed geometry.

Structure (extended XYZ):
```
4
Lattice="2.828 0.000 0.000 0.000 4.049 0.000 -1.367 0.000 5.102" Properties=species:S:1:pos:R:3 pbc="T T T"
Re 0.000 0.000 0.000
Os 0.017 2.024 3.797
Os 1.444 2.024 1.305
Cl -0.683 0.000 2.551
```

Summary:
ΔE_f (raw) in eV per atom: 0.85
Total moment in μB per formula unit: 0.0


Entry 28:
The following is a DFT calculation (PBE-GGA) of crystalline Re2OsCl at its relaxed geometry.

Structure (extended XYZ):
```
8
Lattice="5.260 0.000 0.000 0.000 8.610 0.000 -0.905 0.000 2.682" Properties=species:S:1:pos:R:3 pbc="T T T"
Re 1.315 2.152 0.000
Re 1.315 6.457 0.000
Re 3.945 2.152 0.000
Re 3.945 6.457 0.000
Os -0.453 0.000 1.341
Os 2.178 4.305 1.341
Cl -0.453 4.305 1.341
Cl 2.178 0.000 1.341
```

Summary:
ΔE_f (raw) in eV per atom: 1.23
Total moment in μB per formula unit: 0.0


Entry 29:
The following is a DFT calculation (PBE-GGA) of crystalline ReOs2Cl at its relaxed geometry.

Structure (extended XYZ):
```
16
Lattice="6.201 0.000 0.000 0.000 6.201 0.000 0.000 0.000 6.201" Properties=species:S:1:pos:R:3 pbc="T T T"
Re 0.000 0.000 0.000
Re 0.000 3.100 3.100
Re 3.100 0.000 3.100
Re 3.100 3.100 0.000
Os 0.000 0.000 3.100
Os 0.000 3.100 0.000
Os 1.550 1.550 4.651
Os 1.550 4.651 1.550
Os 3.100 0.000 0.000
Os 3.100 3.100 3.100
Os 4.651 1.550 1.550
Os 4.651 4.651 4.651
Cl 1.550 1.550 1.550
Cl 1.550 4.651 4.651
Cl 4.651 1.550 4.651
Cl 4.651 4.651 1.550
```

Summary:
ΔE_f (raw) in eV per atom: 1.14
Total moment in μB per formula unit: 0.0


Entry 30:
The following is a DFT calculation (PBE-GGA) of crystalline Re2OsCl at its relaxed geometry.

Structure (extended XYZ):
```
8
Lattice="2.793 0.000 0.000 0.000 4.883 0.000 0.000 0.000 9.111" Properties=species:S:1:pos:R:3 pbc="T T T"
Re 0.000 0.000 2.244
Re 0.000 0.000 6.866
Re 1.397 2.441 2.244
Re 1.397 2.441 6.866
Os 0.000 2.441 0.000
Os 1.397 0.000 0.000
Cl 0.000 2.441 4.555
Cl 1.397 0.000 4.555
```

Summary:
ΔE_f (raw) in eV per atom: 0.84
Total moment in μB per formula unit: 0.0


no.,ρ (g/cm3)
1,15.13
2,16.76
3,16.48
4,16.51
5,16.57
6,15.15
7,16.51
8,16.69
9,16.56
10,16.62
11,16.70
12,11.76
13,16.10
14,17.08
15,14.88
16,15.92
17,16.97
18,12.16
19,16.27
20,7.01
21,15.06
22,17.03
23,12.85
24,15.66
25,16.41
26,16.57
27,17.11
28,16.35
29,16.78
30,15.98